This record from the Alexandria database describes a relaxed structure of TlZn2. The functional is PBEsol.

Cell and atoms, written as extended XYZ:
```
3
Lattice="-2.5869 2.3405 -0.9856 0.3818 -1.3255 -4.1496 -2.8232 -1.9916 2.6805" Properties=species:S:1:pos:R:3 pbc="T T T"
Tl 0.0000 0.0000 0.0000
Zn -1.9800 -0.3773 -2.3657
Zn -3.0483 -0.5993 -0.0890
```

Results
energy of formation: 0.19 eV per atom
energy: -5.23 eV/cell

This record from the Alexandria database describes a relaxed structure of TlZn. The functional is PBEsol.

Cell and atoms, written as extended XYZ:
```
4
Lattice="3.2492 0.0000 0.0000 0.0000 4.9836 0.0000 -1.6246 -2.4918 5.3864" Properties=species:S:1:pos:R:3 pbc="T T T"
Tl 1.6246 1.2459 4.2632
Tl 0.0000 1.2459 1.1232
Zn 0.0000 -1.2459 3.7047
Zn 1.6246 3.7377 1.6816
```

Results
energy of formation: 0.18 eV per atom
energy: -7.71 eV/cell

This record from the Alexandria database describes a relaxed structure of TlZn2. The functional is PBEsol.

Cell and atoms, written as extended XYZ:
```
12
Lattice="-0.4588 -2.9516 -2.0428 3.2907 -1.1685 0.9494 -8.9592 -7.0784 15.4453" Properties=species:S:1:pos:R:3 pbc="T T T"
Tl -0.7882 -3.5326 5.2813
Tl -3.4642 -6.7745 10.5666
Tl -4.7892 -9.5776 11.7092
Tl -1.3380 -1.6210 2.6427
Zn 1.6409 -0.5896 0.4834
Zn -5.8934 -9.7174 15.3645
Zn -2.3601 -6.6347 6.9113
Zn -3.7672 -4.5639 7.4405
Zn -4.7674 -6.9736 7.9416
Zn -3.2346 -5.1166 4.9141
Zn 0.6495 -2.9886 0.9670
Zn -6.7768 -8.2100 13.3848
```

Results
energy of formation: 0.18 eV per atom
energy: -21.05 eV/cell

This record from the Alexandria database describes a relaxed structure of TlZn. The functional is PBEsol.

Cell and atoms, written as extended XYZ:
```
4
Lattice="3.8064 0.0000 0.0500 0.0000 4.3349 0.0000 -1.7430 0.0000 5.2193" Properties=species:S:1:pos:R:3 pbc="T T T"
Tl 2.0277 3.2512 3.6447
Tl 0.0357 1.0837 1.6245
Zn 1.9131 3.2512 0.7511
Zn 0.1503 1.0837 4.5181
```

Results
energy of formation: 0.14 eV per atom
energy: -7.85 eV/cell

This record from the Alexandria database describes a relaxed structure of Zr2TlZn. The functional is PBEsol.

Cell and atoms, written as extended XYZ:
```
4
Lattice="3.0783 0.0000 0.0000 0.0000 3.0783 0.0000 0.0000 0.0000 8.3178" Properties=species:S:1:pos:R:3 pbc="T T T"
Tl 1.5392 1.5392 0.0000
Zn 1.5392 1.5392 4.1589
Zr 0.0000 0.0000 6.0154
Zr 0.0000 0.0000 2.3025
```

Results
energy of formation: -0.21 eV per atom
energy: -23.24 eV/cell

This record from the Alexandria database describes a relaxed structure of Zr2TlZn. The functional is PBEsol.

Cell and atoms, written as extended XYZ:
```
4
Lattice="3.2541 0.0000 0.0000 0.0000 4.9908 -0.0286 -1.6271 -2.4651 4.9545" Properties=species:S:1:pos:R:3 pbc="T T T"
Tl 0.0000 0.0286 4.7394
Zn 1.6271 0.0159 2.5094
Zr 0.0000 0.0003 0.1419
Zr 0.0000 2.5113 2.4753
```

Results
energy of formation: -0.14 eV per atom
energy: -22.96 eV/cell